MnRuS3 after structural relaxation, computed with PBE.

The structure belongs to space group Pm-3m (No. 221); the cell edges are 4.564, 4.564 and 4.564 Å and the angles 90.00°, 90.00° and 90.00°. The distinct sites, in fractional coordinates, are Mn at (0.000, 0.000, 0.000), Ru at (0.500, 0.500, 0.500) and S at (0.000, 0.500, 0.500).

The total energy comes out at -25.6 eV for the cell shown. The mass density comes out at 4.4 g cm⁻³. As for the energy relative to the elements, uncorrected: 1053 meV per atom. The excess energy over the best structure of this formula in the dataset comes out at 6.43 kcal/mol of atoms.


Li2NbTc3N6 after structural relaxation, computed with PBE.

The structure belongs to space group C2/m (No. 12); the cell edges are 5.151, 9.027 and 5.265 Å and the angles 90.00°, 107.44° and 90.00°. The distinct sites, in fractional coordinates, are Li at (0.000, 0.164, 0.000), Nb at (0.000, 0.500, 0.000), Tc at (0.000, 0.000, 0.500), Tc at (0.000, 0.312, 0.500), N at (0.227, 0.500, 0.723) and N at (0.249, 0.338, 0.243).

The total energy comes out at -198.1 eV for the cell shown. The mass density comes out at 6.9 g cm⁻³. As for the energy relative to the elements, uncorrected: -341 meV per atom.


PmPrErIn after structural relaxation, computed with PBE.

The structure belongs to space group F-43m (No. 216); the cell edges are 7.855, 7.855 and 7.855 Å and the angles 90.00°, 90.00° and 90.00°. The distinct sites, in fractional coordinates, are Pm at (0.000, 0.000, 0.000), Pr at (0.000, 0.000, 0.500), Er at (0.250, 0.250, 0.750) and In at (0.250, 0.250, 0.250).

The total energy comes out at -69.8 eV for the cell shown. The formation energy is -15 kJ/mol of atoms. The mass density comes out at 7.8 g cm⁻³. The excess energy over the best structure of this formula in the dataset comes out at 0.00 kcal/mol of atoms.


RbCd3Pt after structural relaxation, computed with PBE.

The structure belongs to space group Amm2 (No. 38); the cell edges are 4.218, 5.930 and 16.564 Å and the angles 90.00°, 90.00° and 90.00°. The distinct sites, in fractional coordinates, are Rb at (0.000, 0.000, 0.000), Cd at (0.000, 0.236, 0.197), Cd at (0.500, 0.000, 0.814) and Pt at (0.500, 0.000, 0.650).

The total energy comes out at -18.6 eV for the cell shown. The formation energy is 9 kJ/mol of atoms. The mass density comes out at 5.0 g cm⁻³. The excess energy over the best structure of this formula in the dataset comes out at 7.98 kcal/mol of atoms.


BaGaH after structural relaxation, computed with PBE.

The structure belongs to space group R3m (No. 160, hexagonal axes); the cell edges are 4.3852, 4.3852 and 25.6393 Å and the angles 90.00°, 90.00° and 120.00°. The distinct sites, in fractional coordinates, are Ba at (0.0000, 0.0000, 0.0000), Ba at (0.0000, 0.0000, 0.2036), Ga at (0.0000, 0.0000, 0.4375), Ga at (0.0000, 0.0000, 0.7715), H at (0.0000, 0.0000, 0.3067) and H at (0.0000, 0.0000, 0.5876).

The total energy comes out at -57.9 eV for the cell shown. The mass density comes out at 4.9 g cm⁻³. The excess energy over the best structure of this formula in the dataset comes out at 0.39 kcal/mol of atoms.


AcMg2H8Os after structural relaxation, computed with PBE.

The structure belongs to space group P-3m1 (No. 164); the cell edges are 4.5469, 4.5469 and 6.9761 Å and the angles 90.00°, 90.00° and 120.00°. The distinct sites, in fractional coordinates, are Ac at (0.0000, 0.0000, 0.0000), Mg at (0.3333, 0.6667, 0.3756), H at (0.1677, 0.3354, 0.6570), H at (0.3333, 0.6667, 0.0898) and Os at (0.0000, 0.0000, 0.5000).

The total energy comes out at -49.9 eV for the cell shown. The mass density comes out at 6.3 g cm⁻³.


Q: Which value of mass density does entry 5 give?
A: 4.9 g cm⁻³


Q: mass density of number 5 (BaGaH)?
A: 4.9 g cm⁻³